Entry from Alexandria via LeMat-Bulk: a relaxed CsHfAsI2 crystal (PBE-GGA).

The structure in POSCAR format:
```
CsHfAsI2
1.0
6.516 0.000 0.000
0.000 5.080 0.000
0.000 0.000 6.516
Hf I As Cs
1 2 1 1
Direct
0.000 0.500 0.000
0.500 0.000 0.000
0.000 0.000 0.500
0.000 0.000 0.000
0.500 0.500 0.500
```

Properties
The calculated volume comes out at 216 Å³/cell. For the total moment, the calculation gives 0.000 μB per cell. The uncorrected formation energy is 0.006 eV/atom. As for the space group: P4/mmm. The calculation puts the theoretical density at 4.93 g/cm³.